[1]
Crystalline NaAl2AgTe4 at its relaxed geometry. Source: OQMD via LeMat-Bulk, functional GGA-PBE. Values from VASP.

Properties
symmetry	I-4
DFT total energy	-28.23	eV/cell

```
&SYSTEM
  ibrav = 0, nat = 8, ntyp = 4
/
ATOMIC_SPECIES
Te 127.60 Te.upf
Al 26.98 Al.upf
Na 22.99 Na.upf
Ag 107.87 Ag.upf
CELL_PARAMETERS angstrom
5.768 -4.793 -1.194
2.683 -1.324 6.980
-7.163 -0.585 -2.455
ATOMIC_POSITIONS crystal
Te 0.620 0.095 0.955
Al 0.250 0.750 0.500
Al 0.000 0.000 0.000
Te 0.905 0.860 0.525
Te 0.140 0.665 0.045
Na 0.750 0.250 0.500
Ag 0.500 0.500 0.000
Te 0.335 0.380 0.475
```

---

[2]
Crystalline NbAl2Ag at its relaxed geometry. Source: OQMD via LeMat-Bulk, functional GGA-PBE. Values from VASP.

Properties
symmetry	F-43m
DFT total energy	-19.62	eV/cell

```
&SYSTEM
  ibrav = 0, nat = 4, ntyp = 3
/
ATOMIC_SPECIES
Al 26.98 Al.upf
Nb 92.91 Nb.upf
Ag 107.87 Ag.upf
CELL_PARAMETERS angstrom
-1.020 -1.937 4.029
-4.288 0.188 1.615
-2.568 -3.797 0.134
ATOMIC_POSITIONS crystal
Al 0.250 0.250 0.250
Al 0.000 0.000 0.000
Nb 0.750 0.750 0.750
Ag 0.500 0.500 0.500
```

---

[3]
Crystalline NbAlAg at its relaxed geometry. Source: OQMD via LeMat-Bulk, functional GGA-PBE. Values from VASP.

Properties
symmetry	F-43m
polymorph energy (0 for the lowest one)	0.00	kcal/mol of atoms

```
&SYSTEM
  ibrav = 0, nat = 3, ntyp = 3
/
ATOMIC_SPECIES
Nb 92.91 Nb.upf
Al 26.98 Al.upf
Ag 107.87 Ag.upf
CELL_PARAMETERS angstrom
0.000 3.085 3.085
3.085 0.000 3.085
3.085 3.085 0.000
ATOMIC_POSITIONS crystal
Nb 0.750 0.750 0.750
Al 0.250 0.250 0.250
Ag 0.000 0.000 0.000
```

---

[4]
Crystalline NbAlAg2 at its relaxed geometry. Source: OQMD via LeMat-Bulk, functional GGA-PBE. Values from VASP.

Properties
symmetry	F-43m
DFT total energy	-18.76	eV/cell

```
&SYSTEM
  ibrav = 0, nat = 4, ntyp = 3
/
ATOMIC_SPECIES
Al 26.98 Al.upf
Ag 107.87 Ag.upf
Nb 92.91 Nb.upf
CELL_PARAMETERS angstrom
0.892 -1.087 4.370
2.360 2.909 2.653
-2.119 2.239 3.401
ATOMIC_POSITIONS crystal
Al 0.500 0.500 0.500
Ag 0.000 0.000 0.000
Ag 0.750 0.750 0.750
Nb 0.250 0.250 0.250
```

---

[5]
Crystalline NbAlAg at its relaxed geometry. Source: OQMD via LeMat-Bulk, functional GGA-PBE. Values from VASP.

Properties
symmetry	F-43m
polymorph energy (0 for the lowest one)	5.35	kcal/mol of atoms

```
&SYSTEM
  ibrav = 0, nat = 3, ntyp = 3
/
ATOMIC_SPECIES
Ag 107.87 Ag.upf
Al 26.98 Al.upf
Nb 92.91 Nb.upf
CELL_PARAMETERS angstrom
2.225 1.285 3.634
-2.225 1.285 3.634
0.000 -2.569 3.634
ATOMIC_POSITIONS crystal
Ag 0.250 0.250 0.250
Al 0.750 0.750 0.750
Nb 0.000 0.000 0.000
```

---

[6]
Crystalline NbAlNiAg at its relaxed geometry. Source: OQMD via LeMat-Bulk, functional GGA-PBE. Values from VASP.

Properties
symmetry	F-43m
DFT total energy	-21.83	eV/cell

```
&SYSTEM
  ibrav = 0, nat = 4, ntyp = 4
/
ATOMIC_SPECIES
Ni 58.69 Ni.upf
Nb 92.91 Nb.upf
Al 26.98 Al.upf
Ag 107.87 Ag.upf
CELL_PARAMETERS angstrom
0.262 1.142 4.269
-3.256 2.348 1.867
-2.678 -1.901 2.968
ATOMIC_POSITIONS crystal
Ni 0.750 0.750 0.750
Nb 0.250 0.250 0.250
Al 0.000 0.000 0.000
Ag 0.500 0.500 0.500
```